Entry from Alexandria via LeMat-Bulk: crystalline ZnCdGa2Hg at its relaxed geometry (GGA-PBE).

The space group is P4/mmm (No. 123) and the conventional cell measures 4.890, 4.890 and 5.215 Å, with angles of 90.00, 90.00 and 90.00 degrees. The distinct sites, in fractional coordinates, are Zn at (0.000, 0.000, 0.000), Cd at (0.000, 0.000, 0.500), Ga at (0.000, 0.500, 0.000) and Hg at (0.500, 0.500, 0.500).

The energy of formation is 220 meV/atom.

***

Entry from Alexandria via LeMat-Bulk: crystalline Ce2ScBe at its relaxed geometry (GGA-PBE).

The space group is R-3m (No. 166, hexagonal axes) and the conventional cell measures 3.0436, 3.0436 and 34.5839 Å, with angles of 90.00, 90.00 and 120.00 degrees. The distinct sites, in fractional coordinates, are Ce at (0.0000, 0.0000, 0.0835), Sc at (0.0000, 0.0000, 0.5000) and Be at (0.0000, 0.0000, 0.0000).

The energy of formation is 640 meV/atom.